Entry 1:
A relaxed structure of LiPmHgBi, computed with PBE-GGA.

Summary:
**Uncorrected energy**: -3.20 eV per atom
**N(E_F)**: 0.82 states/eV per atom

Cell and atoms, written as CIF:
```
data_LiPmHgBi
_space_group_name_H-M_alt 'F -4 3 m'
_space_group_IT_number 216
_space_group_name_Hall 'F -4 2 3'
_cell_length_a 7.496
_cell_length_b 7.496
_cell_length_c 7.496
_cell_angle_alpha 90.00
_cell_angle_beta 90.00
_cell_angle_gamma 90.00
loop_
_atom_site_label
_atom_site_fract_x
_atom_site_fract_y
_atom_site_fract_z
Li1 0.000 0.000 0.000
Pm1 0.000 0.000 0.500
Hg1 0.250 0.250 0.750
Bi1 0.250 0.250 0.250
```


Entry 2:
A relaxed structure of CrReNi2, computed with PBE-GGA.

Summary:
**N(E_F)**: 1.43 states/eV per atom
**Distance to the lowest polymorph of the same formula**: 0.1178 eV per atom

Cell and atoms, written as CIF:
```
data_CrReNi2
_space_group_name_H-M_alt 'C 1 2/m 1'
_space_group_IT_number 12
_cell_length_a 8.664
_cell_length_b 2.684
_cell_length_c 4.301
_cell_angle_alpha 90.00
_cell_angle_beta 101.78
_cell_angle_gamma 90.00
loop_
_space_group_symop_operation_xyz
'x,y,z'
'-x,-y,-z'
'-x,y,-z'
'x,-y,z'
'x+1/2,y+1/2,z'
'-x+1/2,-y+1/2,-z'
'-x+1/2,y+1/2,-z'
'x+1/2,-y+1/2,z'
loop_
_atom_site_label
_atom_site_fract_x
_atom_site_fract_y
_atom_site_fract_z
Cr1 0.000 0.000 0.000
Re1 0.000 0.500 0.500
Ni1 0.248 0.500 0.247
```


Entry 3:
A relaxed structure of TaTc2HW, computed with PBE-GGA.

Summary:
**N(E_F)**: 0.70 states/eV per atom
**Distance to the lowest polymorph of the same formula**: 0.0020 eV per atom

Cell and atoms, written as CIF:
```
data_TaTc2HW
_space_group_name_H-M_alt 'P 4/m m m'
_space_group_IT_number 123
_space_group_name_Hall '-P 4 2'
_cell_length_a 4.074
_cell_length_b 4.074
_cell_length_c 3.958
_cell_angle_alpha 90.00
_cell_angle_beta 90.00
_cell_angle_gamma 90.00
loop_
_atom_site_label
_atom_site_fract_x
_atom_site_fract_y
_atom_site_fract_z
Ta1 0.000 0.000 0.000
Tc1 0.000 0.500 0.500
H1 0.500 0.500 0.500
W1 0.500 0.500 0.000
```


N(E_F) of number 1 (LiPmHgBi)?
0.82 states/eV per atom


What is the N(E_F) in the third record?
0.70 states/eV per atom


N(E_F) of number 1 (LiPmHgBi)?
0.82 states/eV per atom